(1)
Crystalline MnNiBi at its relaxed geometry. Source: Alexandria, functional PBE.

The structure in extended XYZ format:
```
6
Lattice="3.398 0.000 0.000 1.699 4.043 0.000 1.646 0.715 8.716" Properties=species:S:1:pos:R:3 pbc="T T T"
Mn 0.000 0.000 0.000
Mn 1.699 0.794 1.465
Ni 3.399 2.402 0.722
Ni 5.098 3.154 2.437
Bi 1.702 0.563 4.110
Bi 3.348 2.443 7.237
```

Values from the calculation:
Energy, eV per atom: -6.129
M_tot, μB per cell: 0.332
Energy relative to the elements, eV/atom: 0.148

---

(2)
Crystalline KRe2Ni at its relaxed geometry. Source: Alexandria, functional PBE.

The structure in extended XYZ format:
```
4
Lattice="3.093 0.000 0.000 0.000 3.093 0.000 0.000 0.000 8.130" Properties=species:S:1:pos:R:3 pbc="T T T"
K 0.000 0.000 0.000
Re 1.547 1.547 2.849
Re 1.547 1.547 5.281
Ni 0.000 0.000 4.065
```

Values from the calculation:
Energy, eV per atom: -6.901
M_tot, μB per cell: 0.001
Energy relative to the elements, eV/atom: 1.043
Relative energy among the computed polymorphs, meV per atom: 348